# 1
Material: BaBRuAu2
Method: DFT, PBE
State: optimized geometry

Values from the calculation:
Space group   P4/mmm, No. 123
Calculated total energy   -4.77 eV per atom
V   95.6 Å³ per cell
Mass density   11.170 g cm⁻³
Size of the total moment   0.00 μB per formula unit

Cell lengths 4.6933, 4.6933, 4.3406 Å; angles 90.00, 90.00, 90.00 degrees
Fractional coordinates of all 5 atoms:
1 Ba 0.0000 0.0000 0.0000
2 B 0.5000 0.5000 0.5000
3 Ru 0.5000 0.5000 0.0000
4 Au 0.0000 0.5000 0.5000
5 Au 0.5000 0.0000 0.5000

# 2
Material: Cs3Pm2UTe6
Method: DFT, PBE
State: optimized geometry

Values from the calculation:
E_form (uncorrected)   -1.21 eV per atom
Space group   C2/m, No. 12
Calculated total energy   -4.73 eV per atom
V   500.7 Å³ per cell
Mass density   5.613 g cm⁻³
Size of the total moment   2.99 μB per formula unit

Cell lengths 8.0358, 8.0358, 9.3448 Å; angles 98.24, 98.24, 120.00 degrees
Fractional coordinates of all 12 atoms:
1 Cs 0.0000 0.0000 0.0000
2 Cs 0.3322 0.6678 0.0000
3 Cs 0.6678 0.3322 0.0000
4 Pm 0.1665 0.8335 0.5000
5 Pm 0.8335 0.1665 0.5000
6 U 0.5000 0.5000 0.5000
7 Te 0.1042 0.4356 0.3065
8 Te 0.2335 0.2335 0.6941
9 Te 0.4356 0.1042 0.3065
10 Te 0.5644 0.8958 0.6935
11 Te 0.7665 0.7665 0.3059
12 Te 0.8958 0.5644 0.6935

# 3
Material: Pm4PrDyEr2
Method: DFT, PBE
State: optimized geometry

Values from the calculation:
Space group   P2/m, No. 10
Calculated total energy   -4.67 eV per atom
V   265.5 Å³ per cell
Mass density   7.617 g cm⁻³
Size of the total moment   0.00 μB per formula unit

Cell lengths 6.2409, 3.6188, 11.9414 Å; angles 90.00, 100.12, 90.00 degrees
Fractional coordinates of all 8 atoms:
1 Pm 0.2482 0.0000 0.2462
2 Pm 0.2495 0.5000 0.7512
3 Pm 0.7505 0.5000 0.2488
4 Pm 0.7518 0.0000 0.7538
5 Pr 0.5000 0.5000 0.5000
6 Dy 0.5000 0.0000 0.0000
7 Er 0.0000 0.0000 0.5000
8 Er 0.0000 0.5000 0.0000